[1]
! PBE-GGA Nd7Sm12Th, optimized geometry; values from VASP
&SYSTEM
  ibrav = 0, nat = 20, ntyp = 3
/
ATOMIC_SPECIES
Nd 144.24 Nd.upf
Sm 150.36 Sm.upf
Th 232.04 Th.upf
CELL_PARAMETERS angstrom
-4.8934 -0.4585 -7.3653
-7.1739 -1.4908 4.9715
-1.3685 8.7351 0.4780
ATOMIC_POSITIONS crystal
Nd 0.3814 0.0712 0.1304
Sm 0.7450 0.2774 0.1343
Sm 0.4190 0.8440 0.5247
Sm 0.5247 0.4190 0.8440
Nd 0.9288 0.8696 0.6186
Nd 0.6186 0.9288 0.8696
Sm 0.1343 0.7450 0.2774
Sm 0.2550 0.7226 0.8657
Nd 0.8696 0.6186 0.9288
Sm 0.8657 0.2550 0.7226
Sm 0.5810 0.1560 0.4753
Sm 0.8440 0.5247 0.4190
Sm 0.7226 0.8657 0.2550
Nd 0.5000 0.5000 0.5000
Sm 0.2774 0.1343 0.7450
Th 0.0000 0.0000 0.0000
Sm 0.4753 0.5810 0.1560
Nd 0.1304 0.3814 0.0712
Sm 0.1560 0.4753 0.5810
Nd 0.0712 0.1304 0.3814
! crystal system: trigonal
! V: 34.71 A^3/atom
! symmetry: R-3 (148)
! DFT total energy: -4.639 eV/atom
! theoretical density: 7.29 Mg/m³
! energy relative to the elements: 232 meV per atom

***

[2]
! PBE-GGA Ce2PrNdSe4, optimized geometry; values from VASP
&SYSTEM
  ibrav = 0, nat = 8, ntyp = 4
/
ATOMIC_SPECIES
Ce 140.12 Ce.upf
Nd 144.24 Nd.upf
Se 78.96 Se.upf
Pr 140.91 Pr.upf
CELL_PARAMETERS angstrom
4.2092 0.0000 0.0000
0.0000 7.3469 -0.1650
0.0000 2.5673 6.8527
ATOMIC_POSITIONS crystal
Ce 0.5000 0.0000 0.5000
Nd 0.0000 0.5000 0.5000
Se 0.5000 0.2472 0.7496
Pr 0.5000 0.5000 0.0000
Se 0.0000 0.2462 0.2526
Ce 0.0000 0.0000 0.0000
Se 0.0000 0.7538 0.7474
Se 0.5000 0.7528 0.2504
! crystal system: monoclinic
! V: 26.71 A^3/atom
! symmetry: P2/m (10)
! DFT total energy: -6.256 eV/atom
! theoretical density: 6.85 Mg/m³